(w)
Compound: HfAsPdBr2
Source: Alexandria
Functional: GGA-PBE
Structure: relaxed

Properties
- Total moment: 0.81 μB per formula unit
- Mass density: 6.98 g/cm3

a b c (Å): 4.9139 4.9139 5.1230
angles (deg): 90.00 90.00 90.00
Last column: nearest neighbours and their distance in Å.
Space group P4/mmm (No. 123)
Symmetry-distinct sites (fractional):
Hf (0.0000, 0.0000, 0.0000)  4 As 3.47, 8 Br 3.55
As (0.5000, 0.5000, 0.0000)  2 Pd 2.56
Pd (0.5000, 0.5000, 0.5000)  4 Br 2.46, 2 As 2.56
Br (0.0000, 0.5000, 0.5000)  2 Pd 2.46

(x)
Compound: HfAsPdBr2
Source: Alexandria
Functional: GGA-PBE
Structure: relaxed

Properties
- Total moment: 0.57 μB per formula unit
- Mass density: 6.08 g/cm3

a b c (Å): 5.1939 5.1939 5.2612
angles (deg): 90.00 90.00 90.00
Last column: nearest neighbours and their distance in Å.
Space group P4/mmm (No. 123)
Symmetry-distinct sites (fractional):
Hf (0.0000, 0.0000, 0.0000)  4 Br 2.60, 2 As 2.63
As (0.0000, 0.0000, 0.5000)  2 Hf 2.63
Pd (0.5000, 0.5000, 0.5000)  4 As 3.67, 8 Br 3.70
Br (0.0000, 0.5000, 0.0000)  2 Hf 2.60

Most stable: (x). Least stable: (w).

(w)
Compound: HfAs2PdBr
Source: Alexandria
Functional: GGA-PBE
Structure: relaxed

Properties
- Total moment: 0.00 μB per formula unit
- Mass density: 6.20 g/cm3

a b c (Å): 5.1640 5.1640 5.1652
angles (deg): 90.00 90.00 90.00
Last column: nearest neighbours and their distance in Å.
Space group P4/mmm (No. 123)
Symmetry-distinct sites (fractional):
Hf (0.0000, 0.0000, 0.0000)  4 As 2.58, 2 Br 2.58
As (0.0000, 0.5000, 0.0000)  2 Hf 2.58
Pd (0.5000, 0.5000, 0.5000)  4 Br 3.65, 8 As 3.65
Br (0.0000, 0.0000, 0.5000)  2 Hf 2.58

(x)
Compound: HfAs2PdBr
Source: Alexandria
Functional: GGA-PBE
Structure: relaxed

Properties
- Total moment: 0.00 μB per formula unit
- Mass density: 7.36 g/cm3

a b c (Å): 4.8599 4.8599 4.9184
angles (deg): 90.00 90.00 90.00
Last column: nearest neighbours and their distance in Å.
Space group P4/mmm (No. 123)
Symmetry-distinct sites (fractional):
Hf (0.0000, 0.0000, 0.0000)  4 Br 3.44, 8 As 3.46
As (0.0000, 0.5000, 0.5000)  2 Pd 2.43
Pd (0.5000, 0.5000, 0.5000)  4 As 2.43, 2 Br 2.46
Br (0.5000, 0.5000, 0.0000)  2 Pd 2.46

Most stable: (w). Least stable: (x).

(w)
Compound: HfAsPtBr2
Source: Alexandria
Functional: GGA-PBE
Structure: relaxed

Properties
- Total moment: 0.61 μB per formula unit
- Mass density: 7.29 g/cm3

a b c (Å): 5.0615 5.0615 5.4113
angles (deg): 90.00 90.00 90.00
Last column: nearest neighbours and their distance in Å.
Space group P4/mmm (No. 123)
Symmetry-distinct sites (fractional):
Hf (0.0000, 0.0000, 0.0000)  4 Br 2.53, 2 As 2.71
As (0.0000, 0.0000, 0.5000)  2 Hf 2.71
Pt (0.5000, 0.5000, 0.5000)  4 As 3.58, 8 Br 3.70
Br (0.0000, 0.5000, 0.0000)  2 Hf 2.53

(x)
Compound: HfAsPtBr2
Source: Alexandria
Functional: GGA-PBE
Structure: relaxed

Properties
- Total moment: 0.71 μB per formula unit
- Mass density: 8.05 g/cm3

a b c (Å): 4.9866 4.9866 5.0491
angles (deg): 90.00 90.00 90.00
Last column: nearest neighbours and their distance in Å.
Space group P4/mmm (No. 123)
Symmetry-distinct sites (fractional):
Hf (0.0000, 0.0000, 0.0000)  4 As 3.53, 8 Br 3.55
As (0.5000, 0.5000, 0.0000)  2 Pt 2.52
Pt (0.5000, 0.5000, 0.5000)  4 Br 2.49, 2 As 2.52
Br (0.0000, 0.5000, 0.5000)  2 Pt 2.49

Most stable: (w). Least stable: (x).

(w)
Compound: HfReAs2Br
Source: Alexandria
Functional: GGA-PBE
Structure: relaxed

Properties
- Total moment: 4.74 μB per formula unit
- Mass density: 7.15 g/cm3

a b c (Å): 5.1986 5.1986 5.1112
angles (deg): 90.00 90.00 90.00
Last column: nearest neighbours and their distance in Å.
Space group P4/mmm (No. 123)
Symmetry-distinct sites (fractional):
Hf (0.0000, 0.0000, 0.0000)  2 Br 2.56, 4 As 2.60
Re (0.5000, 0.5000, 0.5000)  8 As 3.65, 4 Br 3.68
As (0.0000, 0.5000, 0.0000)  2 Hf 2.60
Br (0.0000, 0.0000, 0.5000)  2 Hf 2.56

(x)
Compound: HfReAs2Br
Source: Alexandria
Functional: GGA-PBE
Structure: relaxed

Properties
- Total moment: 0.41 μB per formula unit
- Mass density: 8.40 g/cm3

a b c (Å): 4.7652 4.7652 5.1723
angles (deg): 90.00 90.00 90.00
Last column: nearest neighbours and their distance in Å.
Space group P4/mmm (No. 123)
Symmetry-distinct sites (fractional):
Hf (0.0000, 0.0000, 0.0000)  4 Br 3.37, 8 As 3.52
Re (0.5000, 0.5000, 0.5000)  4 As 2.38, 2 Br 2.59
As (0.0000, 0.5000, 0.5000)  2 Re 2.38
Br (0.5000, 0.5000, 0.0000)  2 Re 2.59

Most stable: (x). Least stable: (w).

(w)
Compound: HfAs2RhBr
Source: Alexandria
Functional: GGA-PBE
Structure: relaxed

Properties
- Total moment: 1.67 μB per formula unit
- Mass density: 6.25 g/cm3

a b c (Å): 5.1438 5.1438 5.1336
angles (deg): 90.00 90.00 90.00
Last column: nearest neighbours and their distance in Å.
Space group P4/mmm (No. 123)
Symmetry-distinct sites (fractional):
Hf (0.0000, 0.0000, 0.0000)  2 Br 2.57, 4 As 2.57
As (0.0000, 0.5000, 0.0000)  2 Hf 2.57
Rh (0.5000, 0.5000, 0.5000)  8 As 3.63, 4 Br 3.64
Br (0.0000, 0.0000, 0.5000)  2 Hf 2.57

(x)
Compound: HfAs2RhBr
Source: Alexandria
Functional: GGA-PBE
Structure: relaxed

Properties
- Total moment: 0.00 μB per formula unit
- Mass density: 7.53 g/cm3

a b c (Å): 4.8039 4.8039 4.8843
angles (deg): 90.00 90.00 90.00
Last column: nearest neighbours and their distance in Å.
Space group P4/mmm (No. 123)
Symmetry-distinct sites (fractional):
Hf (0.0000, 0.0000, 0.0000)  4 Br 3.40, 8 As 3.43
As (0.0000, 0.5000, 0.5000)  2 Rh 2.40
Rh (0.5000, 0.5000, 0.5000)  4 As 2.40, 2 Br 2.44
Br (0.5000, 0.5000, 0.0000)  2 Rh 2.44

Most stable: (x). Least stable: (w).

(w)
Compound: HfAs2SBr
Source: Alexandria
Functional: GGA-PBE
Structure: relaxed

Properties
- Total moment: 0.00 μB per formula unit
- Mass density: 6.58 g/cm3

a b c (Å): 4.7602 4.7602 4.9059
angles (deg): 90.00 90.00 90.00
Last column: nearest neighbours and their distance in Å.
Space group P4/mmm (No. 123)
Symmetry-distinct sites (fractional):
Hf (0.0000, 0.0000, 0.0000)  4 Br 3.37, 8 As 3.42
As (0.0000, 0.5000, 0.5000)  2 S 2.38
S (0.5000, 0.5000, 0.5000)  4 As 2.38, 2 Br 2.45
Br (0.5000, 0.5000, 0.0000)  2 S 2.45

(x)
Compound: HfAs2SBr
Source: Alexandria
Functional: GGA-PBE
Structure: relaxed

Properties
- Total moment: 0.00 μB per formula unit
- Mass density: 5.30 g/cm3

a b c (Å): 5.2369 5.2369 5.0322
angles (deg): 90.00 90.00 90.00
Last column: nearest neighbours and their distance in Å.
Space group P4/mmm (No. 123)
Symmetry-distinct sites (fractional):
Hf (0.0000, 0.0000, 0.0000)  2 Br 2.52, 4 As 2.62
As (0.0000, 0.5000, 0.0000)  2 Hf 2.62
S (0.5000, 0.5000, 0.5000)  8 As 3.63, 4 Br 3.70
Br (0.0000, 0.0000, 0.5000)  2 Hf 2.52

Most stable: (x). Least stable: (w).

(w)
Compound: HfScAsBr2
Source: Alexandria
Functional: GGA-PBE
Structure: relaxed

Properties
- Total moment: 1.56 μB per formula unit
- Mass density: 5.51 g/cm3

a b c (Å): 5.0078 5.0078 5.5090
angles (deg): 90.00 90.00 90.00
Last column: nearest neighbours and their distance in Å.
Space group P4/mmm (No. 123)
Symmetry-distinct sites (fractional):
Hf (0.0000, 0.0000, 0.0000)  4 As 3.54, 8 Br 3.72
Sc (0.5000, 0.5000, 0.5000)  4 Br 2.50, 2 As 2.75
As (0.5000, 0.5000, 0.0000)  2 Sc 2.75
Br (0.0000, 0.5000, 0.5000)  2 Sc 2.50

(x)
Compound: HfScAsBr2
Source: Alexandria
Functional: GGA-PBE
Structure: relaxed

Properties
- Total moment: 1.34 μB per formula unit
- Mass density: 5.40 g/cm3

a b c (Å): 5.1443 5.1443 5.3247
angles (deg): 90.00 90.00 90.00
Last column: nearest neighbours and their distance in Å.
Space group P4/mmm (No. 123)
Symmetry-distinct sites (fractional):
Hf (0.0000, 0.0000, 0.0000)  4 Br 2.57, 2 As 2.66
Sc (0.5000, 0.5000, 0.5000)  4 As 3.64, 8 Br 3.70
As (0.0000, 0.0000, 0.5000)  2 Hf 2.66
Br (0.0000, 0.5000, 0.0000)  2 Hf 2.57

Most stable: (x). Least stable: (w).

(w)
Compound: HfScAs2Br
Source: Alexandria
Functional: GGA-PBE
Structure: relaxed

Properties
- Total moment: 0.54 μB per formula unit
- Mass density: 5.52 g/cm3

a b c (Å): 5.1733 5.1733 5.0899
angles (deg): 90.00 90.00 90.00
Last column: nearest neighbours and their distance in Å.
Space group P4/mmm (No. 123)
Symmetry-distinct sites (fractional):
Hf (0.0000, 0.0000, 0.0000)  2 Br 2.54, 4 As 2.59
Sc (0.5000, 0.5000, 0.5000)  8 As 3.63, 4 Br 3.66
As (0.0000, 0.5000, 0.0000)  2 Hf 2.59
Br (0.0000, 0.0000, 0.5000)  2 Hf 2.54

(x)
Compound: HfScAs2Br
Source: Alexandria
Functional: GGA-PBE
Structure: relaxed

Properties
- Total moment: 0.45 μB per formula unit
- Mass density: 5.84 g/cm3

a b c (Å): 5.1306 5.1306 4.8967
angles (deg): 90.00 90.00 90.00
Last column: nearest neighbours and their distance in Å.
Space group P4/mmm (No. 123)
Symmetry-distinct sites (fractional):
Hf (0.0000, 0.0000, 0.0000)  8 As 3.55, 4 Br 3.63
Sc (0.5000, 0.5000, 0.5000)  2 Br 2.45, 4 As 2.57
As (0.0000, 0.5000, 0.5000)  2 Sc 2.57
Br (0.5000, 0.5000, 0.0000)  2 Sc 2.45

Most stable: (w). Least stable: (x).